(1)
Computed, not measured: a relaxed PrSmSiPd crystal at the PBE-GGA level of DFT.

```
PrSmSiPd
1.0
-1.208 -4.166 -2.763
-1.966 -4.145 2.324
-4.933 -1.260 -0.731
Si Pr Sm Pd
1 1 1 1
direct
0.750 0.750 0.750
0.000 0.000 0.000
0.500 0.500 0.500
0.250 0.250 0.250
```

Computed properties:
**Symmetry**: F-43m
**Raw formation energy**: -0.621 eV per atom
**Polymorph energy (0 for the lowest one)**: 130.9 meV/atom

=====

(2)
Computed, not measured: a relaxed Ce2NpS5 crystal at the PBE-GGA level of DFT.

```
Ce2NpS5
1.0
-4.234 -1.561 5.905
-2.674 -6.654 -3.676
8.875 -6.178 4.729
Ce S Np
8 20 4
direct
0.024 0.501 0.322
0.476 0.999 0.822
0.524 0.001 0.178
0.476 0.501 0.822
0.976 0.499 0.678
0.024 0.999 0.322
0.524 0.499 0.178
0.976 0.001 0.678
0.042 0.250 0.501
0.458 0.250 0.001
0.332 0.750 0.311
0.668 0.250 0.689
0.958 0.750 0.499
0.832 0.250 0.189
0.664 0.042 0.404
0.664 0.458 0.404
0.336 0.542 0.596
0.302 0.250 0.285
0.542 0.750 0.999
0.198 0.250 0.785
0.836 0.458 0.904
0.164 0.542 0.096
0.168 0.750 0.811
0.698 0.750 0.715
0.836 0.042 0.904
0.802 0.750 0.215
0.336 0.958 0.596
0.164 0.958 0.096
0.931 0.750 0.992
0.431 0.250 0.508
0.069 0.250 0.008
0.569 0.750 0.492
```

Computed properties:
**Symmetry**: Pnma
**Raw formation energy**: -1.793 eV per atom

=====

(3)
Computed, not measured: a relaxed CoAg2Pd8 crystal at the PBE-GGA level of DFT.

```
CoAg2Pd8
1.0
-1.494 -2.542 -3.071
5.023 1.826 -3.952
2.195 -5.315 3.334
Ag Pd Co
2 8 1
direct
0.000 0.624 0.376
0.000 0.376 0.624
0.500 0.323 0.323
0.000 0.296 0.038
0.500 0.677 0.677
0.000 0.962 0.704
0.500 0.767 0.233
0.000 0.038 0.296
0.500 0.233 0.767
0.000 0.704 0.962
0.500 0.000 0.000
```

Computed properties:
**Symmetry**: Cmmm
**E_form**: 0.219 eV per atom

=====

(4)
Computed, not measured: a relaxed DyTmTh2Sc4 crystal at the PBE-GGA level of DFT.

```
DyTmTh2Sc4
1.0
-0.831 -7.007 -5.715
7.372 -3.961 3.523
-8.122 5.520 5.392
Sc Th Tm Dy
8 4 2 2
direct
0.254 0.753 0.504
0.753 0.746 0.495
0.246 0.253 0.995
0.253 0.754 0.004
0.747 0.246 0.996
0.247 0.254 0.505
0.754 0.747 0.005
0.746 0.247 0.496
0.500 0.000 0.500
0.000 0.000 0.500
0.500 0.500 0.000
0.500 0.000 0.000
0.000 0.500 0.500
0.000 0.500 0.000
0.000 0.000 0.000
0.500 0.500 0.500
```

Computed properties:
**Symmetry**: Imma
**E_form**: 0.436 eV per atom

=====

(5)
Computed, not measured: a relaxed Pr2BiI crystal at the PBE-GGA level of DFT.

```
Pr2BiI
1.0
-3.850 -1.001 2.505
0.187 -3.235 3.406
0.590 3.826 6.847
Pr I Bi
2 1 1
direct
0.759 0.759 0.724
0.241 0.241 0.276
0.000 0.000 0.000
0.500 0.500 0.500
```

Computed properties:
**Symmetry**: R-3m
**Raw formation energy**: -0.903 eV per atom
**Polymorph energy (0 for the lowest one)**: 19.3 meV/atom

=====

(6)
Computed, not measured: a relaxed Cr2TePt crystal at the PBE-GGA level of DFT.

```
Cr2TePt
1.0
3.061 0.000 0.000
0.000 3.061 0.000
0.000 0.000 6.528
Pt Cr Te
1 2 1
direct
0.500 0.500 0.250
0.000 0.000 0.505
0.000 0.000 0.995
0.500 0.500 0.750
```

Computed properties:
**Symmetry**: P4/mmm
**Raw formation energy**: 0.392 eV per atom

=====

Size of the total moment for the records above, in order: 0.0; 5.0; 3.8; 0.0; 0.0; 2.0 μB per formula unit